1.
## TaCuSbAu (PBE-GGA)

Data for TaCuSbAu after structural relaxation.

The total moment comes out at 1.111 μB/f.u. The calculation puts the total energy at -5.21 eV/atom. As for the crystal system: cubic. The volume is 295.4 Å³ per cell.

It has space group F-43m (No. 216), with a = 6.660 Å, b = 6.660 Å, c = 6.660 Å, α = 90.00°, β = 90.00° and γ = 90.00°. The distinct sites, in fractional coordinates, are Ta at (0.000, 0.000, 0.000), Cu at (0.250, 0.250, 0.750), Sb at (0.000, 0.000, 0.500) and Au at (0.250, 0.250, 0.250).



2.
## FeNiMoPb (PBE-GGA)

Data for FeNiMoPb after structural relaxation.

The total moment comes out at 0.578 μB/f.u. The calculation puts the total energy at -6.63 eV/atom. As for the crystal system: cubic. The volume is 243.3 Å³ per cell.

It has space group F-43m (No. 216), with a = 6.243 Å, b = 6.243 Å, c = 6.243 Å, α = 90.00°, β = 90.00° and γ = 90.00°. The distinct sites, in fractional coordinates, are Fe at (0.000, 0.000, 0.000), Ni at (0.000, 0.000, 0.500), Mo at (0.250, 0.250, 0.250) and Pb at (0.250, 0.250, 0.750).



3.
## SrHgF4 (PBE-GGA)

Data for SrHgF4 after structural relaxation.

The calculation puts the total energy at -4.22 eV/atom. As for the crystal system: tetragonal. The volume is 86.8 Å³ per cell.

It has space group P4/mmm (No. 123), with a = 3.950 Å, b = 3.950 Å, c = 5.567 Å, α = 90.00°, β = 90.00° and γ = 90.00°. The distinct sites, in fractional coordinates, are Sr at (0.000, 0.000, 0.000), Hg at (0.500, 0.500, 0.500) and F at (0.000, 0.500, 0.255).



4.
## Tm2In2Pd3Pt (PBE-GGA)

Data for Tm2In2Pd3Pt after structural relaxation.

The total moment comes out at 0.002 μB/f.u. The calculation puts the total energy at -5.37 eV/atom. As for the crystal system: trigonal. The volume is 160.7 Å³ per cell.

It has space group P3m1 (No. 156), with a = 4.5801 Å, b = 4.5801 Å, c = 8.8434 Å, α = 90.00°, β = 90.00° and γ = 120.00°. The distinct sites, in fractional coordinates, are Tm at (0.0000, 0.0000, 0.0000), Tm at (0.3333, 0.6667, 0.4937), In at (0.6667, 0.3333, 0.2487), In at (0.6667, 0.3333, 0.7492), Pd at (0.0000, 0.0000, 0.6618), Pd at (0.3333, 0.6667, 0.1557), Pd at (0.3333, 0.6667, 0.8347) and Pt at (0.0000, 0.0000, 0.3388).



5.
## ReTe8 (PBE-GGA)

Data for ReTe8 after structural relaxation.

The total moment comes out at 0.019 μB/f.u. The calculation puts the total energy at -3.83 eV/atom. As for the crystal system: hexagonal. The volume is 264.3 Å³ per cell.

It has space group P-62m (No. 189), with a = 8.9894 Å, b = 8.9894 Å, c = 3.7766 Å, α = 90.00°, β = 90.00° and γ = 120.00°. The distinct sites, in fractional coordinates, are Re at (0.0000, 0.0000, 0.0000), Te at (0.0000, 0.2161, 0.5000), Te at (0.0000, 0.5337, 0.0000) and Te at (0.3333, 0.6667, 0.5000).



6.
## Zr4TlCdO2 (PBE-GGA)

Data for Zr4TlCdO2 after structural relaxation.

The total moment comes out at 0.001 μB/f.u. The calculation puts the total energy at -7.14 eV/atom. As for the crystal system: hexagonal. The volume is 141.8 Å³ per cell.

It has space group P-6m2 (No. 187), with a = 3.3233 Å, b = 3.3233 Å, c = 14.8230 Å, α = 90.00°, β = 90.00° and γ = 120.00°. The distinct sites, in fractional coordinates, are Zr at (0.0000, 0.0000, 0.1652), Zr at (0.6667, 0.3333, 0.3343), Tl at (0.0000, 0.0000, 0.5000), Cd at (0.6667, 0.3333, 0.0000) and O at (0.3333, 0.6667, 0.2473).



7.
## PaBOs (PBE-GGA)

Data for PaBOs after structural relaxation.

The total moment comes out at 0.002 μB/f.u. The calculation puts the total energy at -8.56 eV/atom. As for the crystal system: cubic. The volume is 228.6 Å³ per cell.

It has space group F-43m (No. 216), with a = 6.114 Å, b = 6.114 Å, c = 6.114 Å, α = 90.00°, β = 90.00° and γ = 90.00°. The distinct sites, in fractional coordinates, are Pa at (0.000, 0.000, 0.000), B at (0.000, 0.000, 0.500) and Os at (0.250, 0.250, 0.750).



8.
## Hf3ZnB2 (PBE-GGA)

Data for Hf3ZnB2 after structural relaxation.

The total moment comes out at 0.015 μB/f.u. The calculation puts the total energy at -7.74 eV/atom. As for the crystal system: hexagonal. The volume is 196.9 Å³ per cell.

It has space group P6_3/mmc (No. 194), with a = 3.3776 Å, b = 3.3776 Å, c = 19.9262 Å, α = 90.00°, β = 90.00° and γ = 120.00°. The distinct sites, in fractional coordinates, are Hf at (0.0000, 0.0000, 0.0000), Hf at (0.3333, 0.6667, 0.1374), Zn at (0.0000, 0.0000, 0.2500) and B at (0.3333, 0.6667, 0.5725).



9.
## LiCuTe3Mo (PBE-GGA)

Data for LiCuTe3Mo after structural relaxation.

The total moment comes out at 1.087 μB/f.u. The calculation puts the total energy at -4.49 eV/atom. As for the crystal system: orthorhombic. The volume is 519.8 Å³ per cell.

It has space group Cmcm (No. 63), with a = 3.645 Å, b = 14.014 Å, c = 10.176 Å, α = 90.00°, β = 90.00° and γ = 90.00°. The distinct sites, in fractional coordinates, are Li at (0.000, 0.226, 0.250), Cu at (0.000, 0.465, 0.750), Te at (0.000, 0.097, 0.750), Te at (0.000, 0.355, 0.550) and Mo at (0.000, 0.000, 0.000).



10.
## ErPuGa (PBE-GGA)

Data for ErPuGa after structural relaxation.

The total moment comes out at 6.051 μB/f.u. The calculation puts the total energy at -6.86 eV/atom. As for the crystal system: cubic. The volume is 309.8 Å³ per cell.

It has space group F-43m (No. 216), with a = 6.766 Å, b = 6.766 Å, c = 6.766 Å, α = 90.00°, β = 90.00° and γ = 90.00°. The distinct sites, in fractional coordinates, are Er at (0.000, 0.000, 0.000), Pu at (0.250, 0.250, 0.250) and Ga at (0.000, 0.000, 0.500).



11.
## GdInCl6 (PBE-GGA)

Data for GdInCl6 after structural relaxation.

The total moment comes out at 0.001 μB/f.u. The calculation puts the total energy at -3.98 eV/atom. As for the crystal system: monoclinic. The volume is 474.0 Å³ per cell.

It has space group C2 (No. 5), with a = 6.720 Å, b = 11.691 Å, c = 6.444 Å, α = 90.00°, β = 110.57° and γ = 90.00°. The distinct sites, in fractional coordinates, are Gd at (0.000, 0.000, 0.000), In at (0.000, 0.669, 0.000), Cl at (0.227, 0.827, 0.244), Cl at (0.233, 0.662, 0.761) and Cl at (0.246, 0.516, 0.242).



12.
## ZrOs (PBE-GGA)

Data for ZrOs after structural relaxation.

The total moment comes out at 0.001 μB/f.u. The calculation puts the total energy at -9.99 eV/atom. As for the crystal system: orthorhombic. The volume is 435.7 Å³ per cell. The value obtained for the formation energy is -0.107 eV per atom.

It has space group Pbcm (No. 57), with a = 6.832 Å, b = 13.747 Å, c = 4.639 Å, α = 90.00°, β = 90.00° and γ = 90.00°. The distinct sites, in fractional coordinates, are Zr at (0.115, 0.125, 0.250), Zr at (0.143, 0.657, 0.750), Zr at (0.382, 0.173, 0.750), Os at (0.170, 0.007, 0.750), Os at (0.375, 0.668, 0.250) and Os at (0.415, 0.510, 0.750).